Entry 1:
Below is a geometry-optimized InTeSe3 structure, with properties calculated at the PBE-GGA level.

Properties
Total magnetic moment ... 0.0 μB per formula unit
Crystal system ... monoclinic
Density ... 4.505 g/cm³
Relative energy among the computed polymorphs ... 0.124 eV/atom

a b c (Å): 8.746 8.746 10.712
angles (deg): 113.75 113.75 28.30
Sites, in units of the cell vectors:
In (0.158, 0.158, 0.383)
In (0.842, 0.842, 0.617)
Te (0.441, 0.441, 0.249)
Te (0.559, 0.559, 0.751)
Se (0.128, 0.128, 0.887)
Se (0.325, 0.325, 0.428)
Se (0.419, 0.419, 0.806)
Se (0.581, 0.581, 0.194)
Se (0.675, 0.675, 0.572)
Se (0.872, 0.872, 0.113)

---

Entry 2:
Below is a geometry-optimized InTe2Se structure, with properties calculated at the PBE-GGA level.

Properties
Electronic total energy ... -3.1981 eV per atom
Total magnetic moment ... 0.0 μB per formula unit
Crystal system ... orthorhombic
Density ... 5.405 g/cm³

a b c (Å): 8.887 8.887 8.887
angles (deg): 153.92 153.41 37.59
Sites, in units of the cell vectors:
In (0.000, 0.000, 0.000)
Te (0.223, 0.723, 0.500)
Te (0.777, 0.277, 0.500)
Se (0.500, 0.500, 0.000)

---

Entry 3:
Below is a geometry-optimized In12Te5Se3 structure, with properties calculated at the PBE-GGA level.

Properties
Electronic total energy ... -3.0615 eV per atom
Total magnetic moment ... 0.0 μB per formula unit
Crystal system ... cubic
Density ... 4.970 g/cm³

a b c (Å): 15.755 15.755 15.755
angles (deg): 109.47 109.47 109.47
Sites, in units of the cell vectors:
In (0.063, 0.726, 0.660)
In (0.063, 0.837, 0.403)
In (0.066, 0.226, 0.163)
In (0.066, 0.340, 0.903)
In (0.097, 0.663, 0.437)
In (0.097, 0.934, 0.660)
In (0.160, 0.226, 0.563)
In (0.160, 0.434, 0.597)
In (0.163, 0.066, 0.226)
In (0.163, 0.597, 0.937)
In (0.226, 0.163, 0.066)
In (0.226, 0.563, 0.160)
In (0.274, 0.340, 0.937)
In (0.274, 0.434, 0.337)
In (0.337, 0.274, 0.434)
In (0.337, 0.563, 0.903)
In (0.340, 0.903, 0.066)
In (0.340, 0.937, 0.274)
In (0.403, 0.063, 0.837)
In (0.403, 0.840, 0.566)
In (0.434, 0.337, 0.274)
In (0.434, 0.597, 0.160)
In (0.437, 0.097, 0.663)
In (0.437, 0.840, 0.774)
In (0.563, 0.160, 0.226)
In (0.563, 0.903, 0.337)
In (0.566, 0.403, 0.840)
In (0.566, 0.663, 0.726)
In (0.597, 0.160, 0.434)
In (0.597, 0.937, 0.163)
In (0.660, 0.063, 0.726)
In (0.660, 0.097, 0.934)
In (0.663, 0.437, 0.097)
In (0.663, 0.726, 0.566)
In (0.726, 0.566, 0.663)
In (0.726, 0.660, 0.063)
In (0.774, 0.437, 0.840)
In (0.774, 0.837, 0.934)
In (0.837, 0.403, 0.063)
In (0.837, 0.934, 0.774)
In (0.840, 0.566, 0.403)
In (0.840, 0.774, 0.437)
In (0.903, 0.066, 0.340)
In (0.903, 0.337, 0.563)
In (0.934, 0.660, 0.097)
In (0.934, 0.774, 0.837)
In (0.937, 0.163, 0.597)
In (0.937, 0.274, 0.340)
Te (0.000, 0.000, 0.000)
Te (0.000, 0.000, 0.500)
Te (0.000, 0.500, 0.000)
Te (0.000, 0.500, 0.500)
Te (0.125, 0.750, 0.875)
Te (0.125, 0.875, 0.250)
Te (0.250, 0.125, 0.875)
Te (0.250, 0.625, 0.375)
Te (0.375, 0.250, 0.625)
Te (0.375, 0.625, 0.750)
Te (0.500, 0.000, 0.000)
Te (0.500, 0.000, 0.500)
Te (0.500, 0.500, 0.000)
Te (0.500, 0.500, 0.500)
Te (0.625, 0.375, 0.250)
Te (0.625, 0.750, 0.375)
Te (0.750, 0.375, 0.625)
Te (0.750, 0.875, 0.125)
Te (0.875, 0.125, 0.750)
Te (0.875, 0.250, 0.125)
Se (0.125, 0.250, 0.375)
Se (0.125, 0.375, 0.750)
Se (0.250, 0.375, 0.125)
Se (0.250, 0.875, 0.625)
Se (0.375, 0.125, 0.250)
Se (0.375, 0.750, 0.125)
Se (0.625, 0.250, 0.875)
Se (0.625, 0.875, 0.750)
Se (0.750, 0.125, 0.375)
Se (0.750, 0.625, 0.875)
Se (0.875, 0.625, 0.250)
Se (0.875, 0.750, 0.625)

---

Entry 4:
Below is a geometry-optimized In2TeSe2 structure, with properties calculated at the PBE-GGA level.

Properties
Electronic total energy ... -3.2145 eV per atom
Total magnetic moment ... 0.0 μB per formula unit
Crystal system ... tetragonal
Density ... 6.849 g/cm³

a b c (Å): 8.236 8.236 3.683
angles (deg): 90.00 90.00 90.00
Sites, in units of the cell vectors:
In (0.160, 0.340, 0.000)
In (0.340, 0.840, 0.000)
In (0.660, 0.160, 0.000)
In (0.840, 0.660, 0.000)
Te (0.000, 0.000, 0.000)
Te (0.500, 0.500, 0.000)
Se (0.140, 0.640, 0.500)
Se (0.360, 0.140, 0.500)
Se (0.640, 0.860, 0.500)
Se (0.860, 0.360, 0.500)

---

Entry 5:
Below is a geometry-optimized In4TeSe3 structure, with properties calculated at the PBE-GGA level.

Properties
Electronic total energy ... -3.4425 eV per atom
Total magnetic moment ... 0.0 μB per formula unit
Crystal system ... orthorhombic
Density ... 4.750 g/cm³

a b c (Å): 8.400 9.846 6.964
angles (deg): 90.00 90.00 90.00
Sites, in units of the cell vectors:
In (0.000, 0.127, 0.000)
In (0.000, 0.852, 0.515)
In (0.209, 0.347, 0.528)
In (0.291, 0.653, 0.028)
In (0.500, 0.148, 0.015)
In (0.500, 0.873, 0.500)
In (0.709, 0.653, 0.028)
In (0.791, 0.347, 0.528)
Te (0.000, 0.850, 0.106)
Te (0.500, 0.150, 0.606)
Se (0.000, 0.108, 0.619)
Se (0.240, 0.285, 0.102)
Se (0.260, 0.715, 0.602)
Se (0.500, 0.892, 0.119)
Se (0.740, 0.715, 0.602)
Se (0.760, 0.285, 0.102)

---

Entry 6:
Below is a geometry-optimized In2TeSe structure, with properties calculated at the PBE-GGA level.

Properties
Total magnetic moment ... 0.0 μB per formula unit
Crystal system ... orthorhombic
Density ... 6.219 g/cm³
Relative energy among the computed polymorphs ... 0.307 eV/atom

a b c (Å): 6.760 6.760 6.760
angles (deg): 143.75 140.05 55.04
Sites, in units of the cell vectors:
In (0.196, 0.196, 0.000)
In (0.804, 0.804, 0.000)
Te (0.500, 0.000, 0.500)
Se (0.000, 0.500, 0.500)

---

Entry 7:
Below is a geometry-optimized In2Te2Se structure, with properties calculated at the PBE-GGA level.

Properties
Total magnetic moment ... 0.0 μB per formula unit
Crystal system ... tetragonal
Density ... 6.228 g/cm³
Relative energy among the computed polymorphs ... 0.315 eV/atom

a b c (Å): 8.190 8.190 4.482
angles (deg): 90.00 90.00 90.00
Sites, in units of the cell vectors:
In (0.139, 0.361, 0.000)
In (0.361, 0.861, 0.000)
In (0.639, 0.139, 0.000)
In (0.861, 0.639, 0.000)
Te (0.179, 0.679, 0.500)
Te (0.321, 0.179, 0.500)
Te (0.679, 0.821, 0.500)
Te (0.821, 0.321, 0.500)
Se (0.000, 0.000, 0.500)
Se (0.500, 0.500, 0.500)

---

Entry 8:
Below is a geometry-optimized In3TeSe2 structure, with properties calculated at the PBE-GGA level.

Properties
Total magnetic moment ... 0.0 μB per formula unit
Crystal system ... orthorhombic
Density ... 5.687 g/cm³
Relative energy among the computed polymorphs ... 0.059 eV/atom

a b c (Å): 7.041 7.041 7.527
angles (deg): 90.00 90.00 80.40
Sites, in units of the cell vectors:
In (0.161, 0.839, 0.750)
In (0.254, 0.407, 0.750)
In (0.407, 0.254, 0.250)
In (0.593, 0.746, 0.750)
In (0.746, 0.593, 0.250)
In (0.839, 0.161, 0.250)
Te (0.336, 0.664, 0.250)
Te (0.664, 0.336, 0.750)
Se (0.162, 0.162, 0.000)
Se (0.162, 0.162, 0.500)
Se (0.838, 0.838, 0.000)
Se (0.838, 0.838, 0.500)

---

Entry 9:
Below is a geometry-optimized InTe2Se structure, with properties calculated at the PBE-GGA level.

Properties
Electronic total energy ... -2.8856 eV per atom
Total magnetic moment ... 0.0 μB per formula unit
Crystal system ... orthorhombic
Density ... 6.868 g/cm³

a b c (Å): 3.537 4.929 6.227
angles (deg): 90.00 90.00 90.00
Sites, in units of the cell vectors:
In (0.000, 0.000, 0.000)
Te (0.500, 0.500, 0.263)
Te (0.500, 0.500, 0.737)
Se (0.000, 0.000, 0.500)

---

Entry 10:
Below is a geometry-optimized InTe2Se structure, with properties calculated at the PBE-GGA level.

Properties
Electronic total energy ... -3.2519 eV per atom
Total magnetic moment ... 0.0 μB per formula unit
Crystal system ... tetragonal
Density ... 6.341 g/cm³

a b c (Å): 6.839 6.839 6.839
angles (deg): 142.53 142.53 54.03
Sites, in units of the cell vectors:
In (0.000, 0.000, 0.000)
Te (0.248, 0.248, 0.000)
Te (0.752, 0.752, 0.000)
Se (0.500, 0.500, 0.000)

---

Entry 11:
Below is a geometry-optimized In2TeSe structure, with properties calculated at the PBE-GGA level.

Properties
Total magnetic moment ... 0.0 μB per formula unit
Crystal system ... monoclinic
Density ... 6.314 g/cm³
Relative energy among the computed polymorphs ... 0.100 eV/atom

a b c (Å): 7.878 7.878 3.990
angles (deg): 104.65 104.65 28.68
Sites, in units of the cell vectors:
In (0.000, 0.000, 0.000)
In (0.235, 0.235, 0.734)
Te (0.829, 0.829, 0.329)
Se (0.581, 0.581, 0.582)

---

Entry 12:
Below is a geometry-optimized In2Te2Se structure, with properties calculated at the PBE-GGA level.

Properties
Total magnetic moment ... 0.6 μB per formula unit
Crystal system ... tetragonal
Density ... 5.722 g/cm³
Relative energy among the computed polymorphs ... 0.466 eV/atom

a b c (Å): 7.383 7.383 7.383
angles (deg): 140.18 140.18 57.58
Sites, in units of the cell vectors:
In (0.250, 0.750, 0.500)
In (0.750, 0.250, 0.500)
Te (0.129, 0.129, 0.000)
Te (0.871, 0.871, 0.000)
Se (0.500, 0.500, 0.000)

---

Entry 13:
Below is a geometry-optimized In2TeSe structure, with properties calculated at the PBE-GGA level.

Properties
Total magnetic moment ... 0.0 μB per formula unit
Crystal system ... tetragonal
Density ... 6.114 g/cm³
Relative energy among the computed polymorphs ... 0.012 eV/atom

a b c (Å): 4.237 4.237 6.599
angles (deg): 90.00 90.00 90.00
Sites, in units of the cell vectors:
In (0.000, 0.000, 0.000)
In (0.500, 0.500, 0.435)
Te (0.500, 0.500, 0.918)
Se (0.000, 0.000, 0.418)

---

Entry 14:
Below is a geometry-optimized InTe2Se structure, with properties calculated at the PBE-GGA level.

Properties
Electronic total energy ... -2.9824 eV per atom
Total magnetic moment ... 0.0 μB per formula unit
Crystal system ... monoclinic
Density ... 5.988 g/cm³

a b c (Å): 2.970 7.028 5.966
angles (deg): 90.00 90.67 90.00
Sites, in units of the cell vectors:
In (0.000, 0.000, 0.000)
Te (0.500, 0.500, 0.251)
Te (0.500, 0.500, 0.749)
Se (0.000, 0.000, 0.500)

---

Entry 15:
Below is a geometry-optimized In2TeSe2 structure, with properties calculated at the PBE-GGA level.

Properties
Electronic total energy ... -3.2091 eV per atom
Total magnetic moment ... 0.0 μB per formula unit
Crystal system ... tetragonal
Density ... 6.042 g/cm³

a b c (Å): 7.988 7.988 4.438
angles (deg): 90.00 90.00 90.00
Sites, in units of the cell vectors:
In (0.143, 0.357, 0.000)
In (0.357, 0.857, 0.000)
In (0.643, 0.143, 0.000)
In (0.857, 0.643, 0.000)
Te (0.000, 0.000, 0.500)
Te (0.500, 0.500, 0.500)
Se (0.178, 0.678, 0.500)
Se (0.322, 0.178, 0.500)
Se (0.678, 0.822, 0.500)
Se (0.822, 0.322, 0.500)

---

Entry 16:
Below is a geometry-optimized In2TeSe structure, with properties calculated at the PBE-GGA level.

Properties
Total magnetic moment ... 0.0 μB per formula unit
Crystal system ... monoclinic
Density ... 6.551 g/cm³
Relative energy among the computed polymorphs ... 0.338 eV/atom

a b c (Å): 3.126 5.724 6.179
angles (deg): 90.00 90.45 90.00
Sites, in units of the cell vectors:
In (0.241, 0.000, 0.257)
In (0.759, 0.000, 0.743)
Te (0.500, 0.500, 0.000)
Se (0.500, 0.500, 0.500)

---

Entry 17:
Below is a geometry-optimized InTe2Se structure, with properties calculated at the PBE-GGA level.

Properties
Electronic total energy ... -3.2580 eV per atom
Total magnetic moment ... 0.0 μB per formula unit
Crystal system ... tetragonal
Density ... 6.292 g/cm³

a b c (Å): 4.390 4.390 6.147
angles (deg): 90.00 90.00 90.00
Sites, in units of the cell vectors:
In (0.000, 0.000, 0.000)
Te (0.000, 0.000, 0.500)
Te (0.500, 0.500, 0.500)
Se (0.500, 0.500, 0.000)

---

Entry 18:
Below is a geometry-optimized InTe2Se structure, with properties calculated at the PBE-GGA level.

Properties
Electronic total energy ... -3.0970 eV per atom
Total magnetic moment ... 0.0 μB per formula unit
Crystal system ... trigonal
Density ... 5.263 g/cm³

a b c (Å): 9.096 9.096 9.096
angles (deg): 27.50 27.50 27.50
Sites, in units of the cell vectors:
In (0.000, 0.000, 0.000)
Te (0.398, 0.398, 0.398)
Te (0.602, 0.602, 0.602)
Se (0.500, 0.500, 0.500)

---

Entry 19:
Below is a geometry-optimized InTe2Se structure, with properties calculated at the PBE-GGA level.

Properties
Electronic total energy ... -2.9708 eV per atom
Total magnetic moment ... 0.0 μB per formula unit
Crystal system ... cubic
Density ... 7.069 g/cm³

a b c (Å): 5.303 5.303 5.303
angles (deg): 60.00 60.00 60.00
Sites, in units of the cell vectors:
In (0.000, 0.000, 0.000)
Te (0.250, 0.250, 0.250)
Te (0.500, 0.500, 0.500)
Se (0.750, 0.750, 0.750)

---

Entry 20:
Below is a geometry-optimized In2Te2Se structure, with properties calculated at the PBE-GGA level.

Properties
Total magnetic moment ... 0.0 μB per formula unit
Crystal system ... tetragonal
Density ... 4.385 g/cm³
Relative energy among the computed polymorphs ... 0.000 eV/atom

a b c (Å): 8.715 8.715 8.715
angles (deg): 125.06 125.06 81.44
Sites, in units of the cell vectors:
In (0.240, 0.000, 0.240)
In (0.750, 0.010, 0.260)
In (0.750, 0.490, 0.740)
In (0.760, 0.000, 0.760)
Te (0.453, 0.215, 0.238)
Te (0.965, 0.227, 0.262)
Te (0.965, 0.703, 0.738)
Te (0.977, 0.215, 0.762)
Se (0.386, 0.886, 0.500)
Se (0.636, 0.636, 0.000)